[1]
# Tc2N GGA-PBEsol optimized geometry
data_Tc2N
_cell_length_a 2.8025
_cell_length_b 2.8025
_cell_length_c 9.6382
_cell_angle_alpha 90.00
_cell_angle_beta 90.00
_cell_angle_gamma 120.00
_space_group_name_H-M_alt 'P 63/m m c'
_space_group_IT_number 194
_space_group_name_Hall '-P 6c 2c'
loop_
_atom_site_label
_atom_site_type_symbol
_atom_site_fract_x
_atom_site_fract_y
_atom_site_fract_z
Tc1 Tc 0.3333 0.6667 0.1080
N1 N 0.3333 0.6667 0.7500
# Electronic total energy   -10.640 eV/atom
# Formation energy from raw total energies   -287 meV per atom
# Density of states at the Fermi level   0.422 states/eV per atom



[2]
# TcTeN3 GGA-PBEsol optimized geometry
data_TcTeN3
_cell_length_a 3.9377
_cell_length_b 3.9377
_cell_length_c 3.9377
_cell_angle_alpha 90.00
_cell_angle_beta 90.00
_cell_angle_gamma 90.00
_space_group_name_H-M_alt 'P m -3 m'
_space_group_IT_number 221
_space_group_name_Hall '-P 4 2 3'
loop_
_atom_site_label
_atom_site_type_symbol
_atom_site_fract_x
_atom_site_fract_y
_atom_site_fract_z
Tc1 Tc 0.0000 0.0000 0.0000
Te1 Te 0.5000 0.5000 0.5000
N1 N 0.0000 0.5000 0.5000
# Electronic total energy   -6.160 eV/atom
# Formation energy from raw total energies   1914 meV per atom
# Density of states at the Fermi level   0.722 states/eV per atom



[3]
# Ti2Tc2N GGA-PBEsol optimized geometry
data_Ti2Tc2N
_cell_length_a 3.1086
_cell_length_b 3.1086
_cell_length_c 14.0323
_cell_angle_alpha 90.00
_cell_angle_beta 90.00
_cell_angle_gamma 90.00
_space_group_name_H-M_alt 'I 4/m m m'
_space_group_IT_number 139
_space_group_name_Hall '-I 4 2'
loop_
_atom_site_label
_atom_site_type_symbol
_atom_site_fract_x
_atom_site_fract_y
_atom_site_fract_z
Ti1 Ti 0.0000 0.5000 0.2500
Tc1 Tc 0.0000 0.0000 0.0847
N1 N 0.0000 0.0000 0.5000
# Electronic total energy   -8.191 eV/atom
# Formation energy from raw total energies   1350 meV per atom
# Density of states at the Fermi level   1.177 states/eV per atom



[4]
# TiTc2N2 GGA-PBEsol optimized geometry
data_TiTc2N2
_cell_length_a 3.7244
_cell_length_b 3.7244
_cell_length_c 8.6931
_cell_angle_alpha 90.00
_cell_angle_beta 90.00
_cell_angle_gamma 90.00
_space_group_name_H-M_alt 'I 4/m m m'
_space_group_IT_number 139
_space_group_name_Hall '-I 4 2'
loop_
_atom_site_label
_atom_site_type_symbol
_atom_site_fract_x
_atom_site_fract_y
_atom_site_fract_z
Ti1 Ti 0.0000 0.0000 0.0000
Tc1 Tc 0.0000 0.5000 0.2500
N1 N 0.0000 0.0000 0.3484
# Electronic total energy   -9.427 eV/atom
# Formation energy from raw total energies   154 meV per atom
# Density of states at the Fermi level   0.841 states/eV per atom



| no. | magnetization (μB/f.u.) |
| --- | --- |
| 1 | 0.0 |
| 2 | 3.5 |
| 3 | 0.0 |
| 4 | 0.0 |